[1]
! YSeBr2N PBEsol optimized geometry; values from VASP
! - N(E_F) (states/eV/cell) = 3.67
! - space-group type = P4/mmm (123)
&SYSTEM
  ibrav = 0, nat = 5, ntyp = 4
/
ATOMIC_SPECIES
Y 88.91 Y.upf
Se 78.96 Se.upf
Br 79.90 Br.upf
N 14.01 N.upf
CELL_PARAMETERS angstrom
5.5186 0.0000 0.0000
0.0000 5.5149 0.0000
0.0000 0.0000 5.5149
ATOMIC_POSITIONS angstrom
Y 0.0000 0.0000 0.0000
Se 2.7593 0.0000 0.0000
Br 0.0000 0.0000 2.7575
Br 0.0000 2.7575 0.0000
N 2.7593 2.7575 2.7575


[2]
! ZrSeBr2N PBEsol optimized geometry; values from VASP
! - N(E_F) (states/eV/cell) = 3.96
! - space-group type = P4/mmm (123)
&SYSTEM
  ibrav = 0, nat = 5, ntyp = 4
/
ATOMIC_SPECIES
Se 78.96 Se.upf
Br 79.90 Br.upf
Zr 91.22 Zr.upf
N 14.01 N.upf
CELL_PARAMETERS angstrom
4.6379 0.0000 0.0000
0.0000 4.3999 0.0000
0.0000 0.0000 4.3999
ATOMIC_POSITIONS angstrom
Se 2.3189 0.0000 0.0000
Br 0.0000 0.0000 2.2000
Br 0.0000 2.2000 0.0000
Zr 2.3189 2.2000 2.2000
N 0.0000 0.0000 0.0000


[3]
! SrBr3N PBEsol optimized geometry; values from VASP
! - N(E_F) (states/eV/cell) = 8.13
! - space-group type = Pm-3m (221)
&SYSTEM
  ibrav = 0, nat = 5, ntyp = 3
/
ATOMIC_SPECIES
Sr 87.62 Sr.upf
Br 79.90 Br.upf
N 14.01 N.upf
CELL_PARAMETERS angstrom
-2.6346 -1.3300 -5.1642
-4.9089 -1.6454 2.9282
-2.0833 5.5590 -0.3689
ATOMIC_POSITIONS angstrom
Sr 0.0000 0.0000 0.0000
Br -2.4545 -0.8227 1.4641
Br -1.0417 2.7795 -0.1844
Br -1.3173 -0.6650 -2.5821
N -4.8134 1.2918 -1.3024


[4]
! Sr2BrN PBEsol optimized geometry; values from VASP
! - space-group type = I-42d (122)
&SYSTEM
  ibrav = 0, nat = 8, ntyp = 3
/
ATOMIC_SPECIES
Sr 87.62 Sr.upf
Br 79.90 Br.upf
N 14.01 N.upf
CELL_PARAMETERS angstrom
-1.2943 -1.2749 6.3925
0.1826 -5.3372 -3.9554
6.0852 2.3751 -1.2221
ATOMIC_POSITIONS angstrom
Sr -0.3293 -3.7772 3.5698
Sr 3.7359 0.2807 -1.0604
Sr 2.0921 -1.6590 1.6743
Sr 4.4484 -3.3186 -1.7537
Br 0.0000 0.0000 0.0000
Br 1.0111 -4.0466 -0.0758
N 3.1339 -1.4810 -2.5887
N 3.9624 -0.1904 1.2908


[5]
! SrBrN2 PBEsol optimized geometry; values from VASP
! - N(E_F) (states/eV/cell) = 1.98
! - space-group type = Fm-3m (225)
&SYSTEM
  ibrav = 0, nat = 4, ntyp = 3
/
ATOMIC_SPECIES
Sr 87.62 Sr.upf
Br 79.90 Br.upf
N 14.01 N.upf
CELL_PARAMETERS angstrom
-4.4566 0.2165 1.4208
-3.0485 -3.2903 -1.3445
-1.6191 -3.1031 3.1107
ATOMIC_POSITIONS angstrom
Sr -4.5621 -3.0885 1.5935
Br 0.0000 0.0000 0.0000
N -2.2811 -1.5442 0.7968
N -6.8432 -4.6327 2.3903


[6]
! SrZnBr2N PBEsol optimized geometry; values from VASP
! - N(E_F) (states/eV/cell) = 3.06
! - space-group type = P4/mmm (123)
&SYSTEM
  ibrav = 0, nat = 5, ntyp = 4
/
ATOMIC_SPECIES
Sr 87.62 Sr.upf
Zn 65.41 Zn.upf
Br 79.90 Br.upf
N 14.01 N.upf
CELL_PARAMETERS angstrom
4.9974 0.0000 0.0000
0.0000 5.8920 0.0000
0.0000 0.0000 5.8920
ATOMIC_POSITIONS angstrom
Sr 0.0000 0.0000 0.0000
Zn 2.4987 2.9460 2.9460
Br 0.0000 0.0000 2.9460
Br 0.0000 2.9460 0.0000
N 2.4987 0.0000 0.0000


[7]
! TaBrN2 PBEsol optimized geometry; values from VASP
! - N(E_F) (states/eV/cell) = 1.14
! - space-group type = R-3m (166)
&SYSTEM
  ibrav = 0, nat = 4, ntyp = 3
/
ATOMIC_SPECIES
N 14.01 N.upf
Br 79.90 Br.upf
Ta 180.95 Ta.upf
CELL_PARAMETERS angstrom
3.1878 0.0000 0.0000
1.5939 2.7607 0.0000
1.5939 0.9202 6.3202
ATOMIC_POSITIONS angstrom
N 4.7816 2.7607 2.1187
N 1.5939 0.9202 4.2016
Br 0.0000 0.0000 0.0000
Ta 3.1878 1.8404 3.1601


[8]
! Ta2BrN PBEsol optimized geometry; values from VASP
! - N(E_F) (states/eV/cell) = 5.99
! - space-group type = Fm-3m (225)
! - energy above the most stable polymorph in this dataset (meV/atom) = 642
&SYSTEM
  ibrav = 0, nat = 4, ntyp = 3
/
ATOMIC_SPECIES
N 14.01 N.upf
Br 79.90 Br.upf
Ta 180.95 Ta.upf
CELL_PARAMETERS angstrom
-3.5968 -1.9040 -1.2670
0.1820 -3.5179 -2.3997
-1.1135 -3.7675 1.6533
ATOMIC_POSITIONS angstrom
N 0.0000 0.0000 0.0000
Br -2.2642 -4.5947 -1.0067
Ta -1.1321 -2.2973 -0.5034
Ta -3.3962 -6.8920 -1.5101


no.,formation energy without anion corrections (eV/atom)
1,0.09
2,0.54
3,0.09
4,-1.19
5,1.05
6,0.14
7,-0.30
8,0.76